No. 1
Entry from OQMD via LeMat-Bulk: a geometry-optimized HgAuNO structure (GGA-PBE).

Cell lengths 3.0580, 6.3548, 6.1508 Å; angles 90.00, 90.00, 90.00 degrees
With the nearest neighbours (Å) after each atom.
Element x y z (fractional)
Hg: 0.0000 0.2030 0.0000  1 N 2.17, 2 O 2.31
Hg: 0.0000 0.7970 0.5000  1 N 2.17, 2 O 2.31
Au: 0.5000 0.3013 0.4825  1 O 2.05, 2 N 2.07
Au: 0.5000 0.6987 0.9825  1 O 2.05, 2 N 2.07
N: 0.0000 0.4078 0.2829  2 Au 2.07, 1 Hg 2.17
N: 0.0000 0.5922 0.7829  2 Au 2.07, 1 Hg 2.17
O: 0.5000 0.0968 0.7412  1 Au 2.05
O: 0.5000 0.9032 0.2412  1 Au 2.05

Total energy = -3.395 eV per atom
Polymorph energy (0 for the lowest one) = 0.187 eV/atom



No. 2
Entry from OQMD via LeMat-Bulk: a geometry-optimized ZnTePd2 structure (GGA-PBE).

Cell lengths 4.6484, 4.6484, 4.6484 Å; angles 60.00, 60.00, 60.00 degrees
With the nearest neighbours (Å) after each atom.
Element x y z (fractional)
Zn: 0.0000 0.0000 0.0000  4 Te 2.85, 4 Pd 2.85
Te: 0.7500 0.7500 0.7500  4 Pd 2.85, 4 Zn 2.85
Pd: 0.2500 0.2500 0.2500  4 Pd 2.85, 4 Zn 2.85
Pd: 0.5000 0.5000 0.5000  4 Te 2.85, 4 Pd 2.85

Total energy = -3.793 eV per atom